Entry 1:
Entry from the Alexandria database: a relaxed structure of BeSi2I (PBE-GGA). Values from VASP.

Quantum ESPRESSO input file:
```
&SYSTEM
  ibrav = 0, nat = 8, ntyp = 3
/
ATOMIC_SPECIES
I 126.90 I.upf
Be 9.01 Be.upf
Si 28.09 Si.upf
ATOMIC_POSITIONS crystal
I 0.566 0.488 0.281
I 0.928 0.801 0.594
Be 0.692 0.923 0.979
Be 0.587 0.332 0.100
Si 0.368 0.264 0.820
Si 0.150 0.191 0.023
Si 0.966 0.996 0.785
Si 0.271 0.671 0.942
CELL_PARAMETERS angstrom
-2.530 0.882 2.833
0.580 -3.511 3.300
7.732 5.744 6.162
```

Properties
Space-group type: P1, No. 1
Energy relative to the lowest polymorph listed for this composition: 0.076 eV/atom
E_tot: -30.770 eV for the cell shown
Density of states at the Fermi level: 2.0 states/eV per cell
ΔE_f (raw): 184.3 meV/atom

=====

Entry 2:
Entry from the Alexandria database: a relaxed structure of BeSi2I (PBE-GGA). Values from VASP.

Quantum ESPRESSO input file:
```
&SYSTEM
  ibrav = 0, nat = 8, ntyp = 3
/
ATOMIC_SPECIES
I 126.90 I.upf
Be 9.01 Be.upf
Si 28.09 Si.upf
ATOMIC_POSITIONS crystal
I 0.694 0.564 0.232
I 0.340 0.014 0.548
Be 0.624 0.863 0.078
Be 0.824 0.279 0.083
Si 0.764 0.788 0.870
Si 0.215 0.062 0.038
Si 0.368 0.984 0.780
Si 0.645 0.354 0.895
CELL_PARAMETERS angstrom
3.878 0.005 0.010
-1.896 5.277 -0.006
0.015 -0.031 10.694
```

Properties
Space-group type: P1, No. 1
Energy relative to the lowest polymorph listed for this composition: 0.078 eV/atom
E_tot: -30.754 eV for the cell shown
Density of states at the Fermi level: 2.2 states/eV per cell
ΔE_f (raw): 186.3 meV/atom

=====

Q: Look up the E_tot of the first one.
A: -30.770 eV for the cell shown